No. 1
Density functional theory data (PBE) for an optimized crystal structure of ZnCuBiO2.

## Properties
The raw formation energy comes out at 25.1 kJ/mol of atoms.

a = 4.185 Å, b = 6.154 Å, c = 4.185 Å
α = 90.00°, β = 90.00°, γ = 90.00°
Fractional positions:
1 O 0.000 0.000 0.500
2 O 0.500 0.000 0.000
3 Zn 0.000 0.500 0.000
4 Bi 0.000 0.000 0.000
5 Cu 0.500 0.500 0.500

=====

No. 2
Density functional theory data (PBE) for an optimized crystal structure of ZrCuBiO4.

## Properties
The raw formation energy comes out at -172.2 kJ/mol of atoms.

a = 7.685 Å, b = 6.441 Å, c = 6.894 Å
α = 122.35°, β = 90.00°, γ = 126.62°
Fractional positions:
1 Zr 0.500 0.000 0.500
2 Zr 0.500 0.000 0.000
3 Cu 0.500 0.500 0.500
4 Cu 0.000 0.500 0.500
5 Bi 0.952 0.904 0.202
6 Bi 0.048 0.096 0.798
7 O 0.771 0.541 0.784
8 O 0.332 0.021 0.260
9 O 0.689 0.021 0.260
10 O 0.771 0.541 0.257
11 O 0.229 0.459 0.743
12 O 0.668 0.979 0.740
13 O 0.311 0.979 0.740
14 O 0.229 0.459 0.216

=====

No. 3
Density functional theory data (PBE) for an optimized crystal structure of CuBi3Os.

## Properties
As for the formation energy: 993.1 meV/atom. As for the energy above the most stable polymorph in this dataset: 0.000 eV/f.u.

a = 5.305 Å, b = 5.305 Å, c = 5.305 Å
α = 90.00°, β = 90.00°, γ = 90.00°
Fractional positions:
1 Os 0.000 0.000 0.000
2 Bi 0.000 0.500 0.000
3 Bi 0.000 0.000 0.500
4 Bi 0.500 0.000 0.000
5 Cu 0.500 0.500 0.500

=====

No. 4
Density functional theory data (PBE) for an optimized crystal structure of CuBi2Os2.

## Properties
As for the formation energy: 810.8 meV/atom.

a = 6.731 Å, b = 6.731 Å, c = 4.428 Å
α = 90.00°, β = 90.00°, γ = 90.00°
Fractional positions:
1 Os 0.371 0.871 0.000
2 Os 0.871 0.629 0.000
3 Os 0.629 0.129 0.000
4 Os 0.129 0.371 0.000
5 Bi 0.178 0.678 0.500
6 Bi 0.678 0.822 0.500
7 Bi 0.822 0.322 0.500
8 Bi 0.322 0.178 0.500
9 Cu 0.000 0.000 0.000
10 Cu 0.500 0.500 0.000

=====

No. 5
Density functional theory data (PBE) for an optimized crystal structure of CuBiOs2.

## Properties
As for the formation energy: 854.7 meV/atom.

a = 4.060 Å, b = 4.060 Å, c = 9.769 Å
α = 78.01°, β = 78.01°, γ = 90.00°
Fractional positions:
1 Os 0.529 0.125 0.250
2 Os 0.221 0.625 0.250
3 Os 0.375 0.471 0.750
4 Os 0.875 0.779 0.750
5 Bi 0.000 0.000 0.000
6 Bi 0.750 0.250 0.500
7 Cu 0.500 0.500 0.000
8 Cu 0.250 0.750 0.500

=====

No. 6
Density functional theory data (PBE) for an optimized crystal structure of CuBiOs3.

## Properties
As for the formation energy: 1900.5 meV/atom. As for the energy above the most stable polymorph in this dataset: 0.000 eV/f.u.

a = 4.540 Å, b = 4.540 Å, c = 4.540 Å
α = 90.00°, β = 90.00°, γ = 90.00°
Fractional positions:
1 Os 0.000 0.500 0.000
2 Os 0.000 0.000 0.500
3 Os 0.500 0.000 0.000
4 Bi 0.500 0.500 0.500
5 Cu 0.000 0.000 0.000

=====

No. 7
Density functional theory data (PBE) for an optimized crystal structure of Cu2BiOsPd.

## Properties
As for the formation energy: 1071.0 meV/atom.

a = 4.675 Å, b = 4.859 Å, c = 4.675 Å
α = 90.00°, β = 90.00°, γ = 90.00°
Fractional positions:
1 Cu 0.000 0.000 0.500
2 Cu 0.500 0.000 0.000
3 Os 0.000 0.000 0.000
4 Bi 0.500 0.500 0.500
5 Pd 0.000 0.500 0.000

=====

No. 8
Density functional theory data (PBE) for an optimized crystal structure of TiCu2BiOs.

## Properties
As for the formation energy: 1069.2 meV/atom.

a = 4.744 Å, b = 4.533 Å, c = 4.744 Å
α = 90.00°, β = 90.00°, γ = 90.00°
Fractional positions:
1 Os 0.000 0.500 0.000
2 Bi 0.500 0.500 0.500
3 Cu 0.000 0.000 0.500
4 Cu 0.500 0.000 0.000
5 Ti 0.000 0.000 0.000

=====

No. 9
Density functional theory data (PBE) for an optimized crystal structure of Cu2BiP.

## Properties
As for the formation energy: 278.3 meV/atom.

a = 6.036 Å, b = 6.036 Å, c = 6.410 Å
α = 61.91°, β = 61.91°, γ = 90.00°
Fractional positions:
1 P 0.500 0.500 0.000
2 P 0.250 0.750 0.500
3 Bi 0.000 0.000 0.000
4 Bi 0.750 0.250 0.500
5 Cu 0.556 0.125 0.250
6 Cu 0.194 0.625 0.250
7 Cu 0.375 0.444 0.750
8 Cu 0.875 0.806 0.750

=====

No. 10
Density functional theory data (PBE) for an optimized crystal structure of Cu2BiP.

## Properties
As for the formation energy: 462.1 meV/atom.

a = 4.642 Å, b = 4.642 Å, c = 4.642 Å
α = 60.00°, β = 60.00°, γ = 60.00°
Fractional positions:
1 P 0.000 0.000 0.000
2 Bi 0.500 0.500 0.500
3 Cu 0.250 0.250 0.250
4 Cu 0.750 0.750 0.750

=====

No. 11
Density functional theory data (PBE) for an optimized crystal structure of CuBi3P.

## Properties
As for the formation energy: 812.7 meV/atom. As for the energy above the most stable polymorph in this dataset: 0.468 eV/f.u.

a = 5.392 Å, b = 5.392 Å, c = 5.392 Å
α = 90.00°, β = 90.00°, γ = 90.00°
Fractional positions:
1 P 0.000 0.000 0.000
2 Bi 0.000 0.500 0.000
3 Bi 0.000 0.000 0.500
4 Bi 0.500 0.000 0.000
5 Cu 0.500 0.500 0.500

=====

No. 12
Density functional theory data (PBE) for an optimized crystal structure of CuBiP2.

## Properties
As for the formation energy: 177.3 meV/atom.

a = 5.683 Å, b = 5.683 Å, c = 7.045 Å
α = 66.21°, β = 66.21°, γ = 90.00°
Fractional positions:
1 P 0.562 0.125 0.250
2 P 0.188 0.625 0.250
3 P 0.375 0.438 0.750
4 P 0.875 0.812 0.750
5 Bi 0.000 0.000 0.000
6 Bi 0.750 0.250 0.500
7 Cu 0.500 0.500 0.000
8 Cu 0.250 0.750 0.500

=====

no.,total magnetization (μB/f.u.)
1,0.00
2,0.00
3,0.00
4,0.00
5,0.00
6,0.02
7,0.00
8,0.00
9,0.00
10,0.00
11,0.00
12,0.00